No. 1
Compound: As2OsWSe
Source: the Alexandria database
Functional: PBE
Structure: optimized geometry

a b c (Å): 4.8972 4.8972 4.7657
angles (deg): 90.00 90.00 90.00
Sites, in units of the cell vectors:
As  0.0000  0.5000  0.0000
As  0.5000  0.0000  0.0000
Os  0.0000  0.0000  0.5000
W  0.5000  0.5000  0.0000
Se  0.5000  0.5000  0.5000

Summary:
V, A^3/atom: 22.9
Crystal system: tetragonal
Fermi-level density of states, states/eV per atom: 0.980
Final energy, Ry per atom: -0.43425

No. 2
Compound: As2OsWSe
Source: the Alexandria database
Functional: PBE
Structure: optimized geometry

a b c (Å): 4.6366 4.6366 5.2690
angles (deg): 90.00 90.00 90.00
Sites, in units of the cell vectors:
As  0.0000  0.5000  0.0000
As  0.5000  0.0000  0.0000
Os  0.0000  0.0000  0.0000
W  0.5000  0.5000  0.5000
Se  0.0000  0.0000  0.5000

Summary:
V, A^3/atom: 22.7
Crystal system: tetragonal
Fermi-level density of states, states/eV per atom: 0.654
Final energy, Ry per atom: -0.43866

No. 3
Compound: AsOsWSe2
Source: the Alexandria database
Functional: PBE
Structure: optimized geometry

a b c (Å): 4.8274 4.8274 4.6464
angles (deg): 90.00 90.00 90.00
Sites, in units of the cell vectors:
As  0.0000  0.0000  0.0000
Os  0.0000  0.0000  0.5000
W  0.5000  0.5000  0.0000
Se  0.0000  0.5000  0.5000
Se  0.5000  0.0000  0.5000

Summary:
V, A^3/atom: 21.7
Crystal system: tetragonal
Fermi-level density of states, states/eV per atom: 1.630
Final energy, Ry per atom: -0.40967

No. 4
Compound: YAs2OsSe
Source: the Alexandria database
Functional: PBE
Structure: optimized geometry

a b c (Å): 4.6749 4.6749 5.4373
angles (deg): 90.00 90.00 90.00
Sites, in units of the cell vectors:
Y  0.0000  0.0000  0.0000
As  0.0000  0.5000  0.5000
As  0.5000  0.0000  0.5000
Os  0.5000  0.5000  0.5000
Se  0.5000  0.5000  0.0000

Summary:
V, A^3/atom: 23.8
Crystal system: tetragonal
Fermi-level density of states, states/eV per atom: 0.613
Final energy, Ry per atom: -0.44751

No. 5
Compound: YAs2OsSe
Source: the Alexandria database
Functional: PBE
Structure: optimized geometry

a b c (Å): 5.4125 5.4125 5.2349
angles (deg): 90.00 90.00 90.00
Sites, in units of the cell vectors:
Y  0.0000  0.0000  0.0000
As  0.0000  0.5000  0.0000
As  0.5000  0.0000  0.0000
Os  0.5000  0.5000  0.5000
Se  0.0000  0.0000  0.5000

Summary:
V, A^3/atom: 30.7
Crystal system: tetragonal
Fermi-level density of states, states/eV per atom: 1.278
Final energy, Ry per atom: -0.34700

No. 6
Compound: ZnAsOsSe2
Source: the Alexandria database
Functional: PBE
Structure: optimized geometry

a b c (Å): 5.0667 5.0667 4.6519
angles (deg): 90.00 90.00 90.00
Sites, in units of the cell vectors:
Zn  0.0000  0.0000  0.0000
As  0.5000  0.5000  0.0000
Os  0.5000  0.5000  0.5000
Se  0.0000  0.5000  0.5000
Se  0.5000  0.0000  0.5000

Summary:
V, A^3/atom: 23.9
Crystal system: tetragonal
Fermi-level density of states, states/eV per atom: 1.205
Final energy, Ry per atom: -0.30636

E above lowest polymorph in eV/f.u., matching the order above: 0.30; 0.00; 0.63; 0.00; 6.84; 0.00
Energy relative to the elements, uncorrected in meV/atom, matching the order above: 1485; 1425; 1586; 7; 1374; 656